[1]
K2Ag5Au5 | GGA-PBE | optimized geometry

The structure belongs to space group Pmmm (No. 47); the cell edges are 4.5747, 5.8111 and 10.1118 Å and the angles 90.00°, 90.00° and 90.00°. The distinct sites, in fractional coordinates, are K at (0.0000, 0.0000, 0.0000), K at (0.0000, 0.5000, 0.5000), Ag at (0.5000, 0.0000, 0.5000), Ag at (0.5000, 0.2502, 0.2501), Au at (0.0000, 0.0000, 0.3331), Au at (0.0000, 0.5000, 0.1650) and Au at (0.5000, 0.5000, 0.0000).

For the energy of formation from the pure elements, the calculation gives -13.8 kJ/mol of atoms. The calculated total energy is -2.879 eV/atom. The density of states at the Fermi level is 2.64 states/eV/f.u.

[2]
BePt | GGA-PBE | optimized geometry

The structure belongs to space group P-1 (No. 2); the cell edges are 2.7912, 4.2280 and 4.5787 Å and the angles 92.29°, 106.71° and 107.68°. The distinct sites, in fractional coordinates, are Be at (0.0675, 0.2676, 0.3697) and Pt at (0.2587, 0.7910, 0.2035).

For the energy of formation from the pure elements, the calculation gives -59.8 kJ/mol of atoms. The calculated total energy is -5.504 eV/atom. The density of states at the Fermi level is 0.61 states/eV/f.u.

[3]
PrNdGe2 | GGA-PBE | optimized geometry

The structure belongs to space group Pmc2_1 (No. 26); the cell edges are 4.0912, 6.0188 and 8.3318 Å and the angles 90.00°, 90.00° and 90.00°. The distinct sites, in fractional coordinates, are Pr at (0.0000, 0.1328, 0.0000), Nd at (0.5000, 0.3672, 0.6377), Ge at (0.0000, 0.3877, 0.3574) and Ge at (0.5000, 0.1144, 0.2809).

For the energy of formation from the pure elements, the calculation gives -81.1 kJ/mol of atoms. The calculated total energy is -5.536 eV/atom. The density of states at the Fermi level is 2.89 states/eV/f.u.

[4]
Mn2HPbBr | GGA-PBE | optimized geometry

The structure belongs to space group P4/mmm (No. 123); the cell edges are 5.4292, 5.4292 and 3.3457 Å and the angles 90.00°, 90.00° and 90.00°. The distinct sites, in fractional coordinates, are Mn at (0.0000, 0.5000, 0.0000), H at (0.0000, 0.0000, 0.5000), Pb at (0.5000, 0.5000, 0.5000) and Br at (0.0000, 0.0000, 0.0000).

The calculated total energy is -4.697 eV/atom. The density of states at the Fermi level is 3.62 states/eV/f.u.

[5]
TbMgPd | GGA-PBE | optimized geometry

The structure belongs to space group P3m1 (No. 156); the cell edges are 4.6520, 4.6520 and 3.5528 Å and the angles 90.00°, 90.00° and 120.00°. The distinct sites, in fractional coordinates, are Tb at (0.0000, 0.0000, 0.0000), Mg at (0.3333, 0.6667, 0.4998) and Pd at (0.6667, 0.3333, 0.5013).

For the energy of formation from the pure elements, the calculation gives -47.2 kJ/mol of atoms. The calculated total energy is -4.295 eV/atom. The density of states at the Fermi level is 2.20 states/eV/f.u.

[6]
Pa3Ga8Au3 | GGA-PBE | optimized geometry

The structure belongs to space group Immm (No. 71); the cell edges are 4.2908, 10.4822 and 12.1072 Å and the angles 90.00°, 90.00° and 90.00°. The distinct sites, in fractional coordinates, are Pa at (0.0000, 0.0000, 0.0000), Pa at (0.0000, 0.0000, 0.2823), Ga at (0.0000, 0.2873, 0.1452), Ga at (0.0000, 0.3674, 0.3553), Au at (0.0000, 0.1789, 0.5000) and Au at (0.0000, 0.5000, 0.0000).

For the energy of formation from the pure elements, the calculation gives -25.7 kJ/mol of atoms. The calculated total energy is -4.733 eV/atom. The density of states at the Fermi level is 12.82 states/eV/f.u.

[7]
SrPaBr2F6 | GGA-PBE | optimized geometry

The structure belongs to space group Fm-3m (No. 225); the cell edges are 9.3657, 9.3657 and 9.3657 Å and the angles 90.00°, 90.00° and 90.00°. The distinct sites, in fractional coordinates, are Sr at (0.0000, 0.0000, 0.0000), Pa at (0.0000, 0.0000, 0.5000), Br at (0.2500, 0.2500, 0.2500) and F at (0.0000, 0.0000, 0.2725).

Its uncorrected formation energy is -3050 meV per atom. The calculated total energy is -5.625 eV/atom. The density of states at the Fermi level is 11.95 states/eV/f.u.

[8]
LiGdHoMg | GGA-PBE | optimized geometry

The structure belongs to space group F-43m (No. 216); the cell edges are 7.5275, 7.5275 and 7.5275 Å and the angles 90.00°, 90.00° and 90.00°. The distinct sites, in fractional coordinates, are Li at (0.0000, 0.0000, 0.0000), Gd at (0.2500, 0.2500, 0.2500), Ho at (0.2500, 0.2500, 0.7500) and Mg at (0.0000, 0.0000, 0.5000).

For the energy of formation from the pure elements, the calculation gives 2.9 kJ/mol of atoms. The calculated total energy is -5.512 eV/atom. The density of states at the Fermi level is 4.30 states/eV/f.u.

[9]
ZrAl2Cu | GGA-PBE | optimized geometry

The structure belongs to space group Pmma (No. 51); the cell edges are 5.6784, 4.6119 and 5.4185 Å and the angles 90.00°, 90.00° and 90.00°. The distinct sites, in fractional coordinates, are Zr at (0.2500, 0.0000, 0.0088), Al at (0.0000, 0.0000, 0.5000), Al at (0.2500, 0.5000, 0.2989) and Cu at (0.2500, 0.5000, 0.7553).

For the energy of formation from the pure elements, the calculation gives 5.9 kJ/mol of atoms. The calculated total energy is -4.971 eV/atom. The density of states at the Fermi level is 2.95 states/eV/f.u.

[10]
La2InRh | GGA-PBE | optimized geometry

The structure belongs to space group Imm2 (No. 44); the cell edges are 3.6839, 4.9097 and 11.9073 Å and the angles 90.00°, 90.00° and 90.00°. The distinct sites, in fractional coordinates, are La at (0.0000, 0.0000, 0.0000), La at (0.0000, 0.5000, 0.2008), In at (0.0000, 0.0000, 0.3969) and Rh at (0.0000, 0.5000, 0.7135).

For the energy of formation from the pure elements, the calculation gives -48.4 kJ/mol of atoms. The calculated total energy is -5.488 eV/atom. The density of states at the Fermi level is 5.04 states/eV/f.u.

[11]
TbAlInAu | GGA-PBE | optimized geometry

The structure belongs to space group F-43m (No. 216); the cell edges are 7.0369, 7.0369 and 7.0369 Å and the angles 90.00°, 90.00° and 90.00°. The distinct sites, in fractional coordinates, are Tb at (0.0000, 0.0000, 0.0000), Al at (0.0000, 0.0000, 0.5000), In at (0.2500, 0.2500, 0.2500) and Au at (0.2500, 0.2500, 0.7500).

For the energy of formation from the pure elements, the calculation gives -40.2 kJ/mol of atoms. The calculated total energy is -4.014 eV/atom. The density of states at the Fermi level is 0.49 states/eV/f.u.

[12]
CsNdO2 | GGA-PBE | optimized geometry

The structure belongs to space group P6_3/mmc (No. 194); the cell edges are 3.7059, 3.7059 and 13.8765 Å and the angles 90.00°, 90.00° and 120.00°. The distinct sites, in fractional coordinates, are Cs at (0.3333, 0.6667, 0.2500), Nd at (0.0000, 0.0000, 0.0000) and O at (0.3333, 0.6667, 0.5851).

Its uncorrected formation energy is -2510 meV per atom. The calculated total energy is -6.394 eV/atom. The density of states at the Fermi level is 0.00 states/eV/f.u.

- What is the density of states at the Fermi level in the twelfth record?
  0.00 states/eV/f.u.